A relaxed structure of CoWN2O. Source: Alexandria, functional GGA+U.

Output
Total DFT energy (no corrections), eV/atom: -5.9732
Total magnetization, Bohr magnetons per cell: 0.4

a b c (Å): 3.643 3.643 3.795
angles (deg): 90.00 90.00 90.00
Space group P4/mmm (No. 123)
Unique sites:
1 Co 0.000 0.000 0.000 x1
2 W 0.500 0.500 0.500 x1
3 N 0.000 0.500 0.000 x2
4 O 0.000 0.000 0.500 x1